Density functional theory data (PBE-GGA) for an optimized crystal structure of MgBrF2.

Geometry as extended XYZ:
```
8
Lattice="-0.573 3.154 -5.216 -5.450 -2.611 -0.980 -4.951 3.507 -0.929" Properties=species:S:1:pos:R:3 pbc="T T T"
F -7.620 3.758 -5.873
F -4.859 0.428 -2.801
F -2.134 1.733 -2.310
F -7.335 2.181 -3.265
Mg -6.706 0.584 -2.504
Mg -3.011 0.272 -3.098
Br 0.000 0.000 0.000
Br -4.268 3.466 -4.621
```

Results
The value obtained for the raw formation energy is -9.204 eV/f.u. The total energy comes out at -0.1490 hartree per atom. Its density of states at the Fermi level is 1.19 states/eV/atom. The spin magnetization is 0.25 μB per atom.